Record 1
DFT (PBE-GGA) results for an optimized crystal structure of BaHoZnGa.

Cell: 5.4150 5.4150 5.4150 Å, 60.00 60.00 60.00°
With the nearest neighbours (Å) after each atom.
Element x y z (fractional)
Zn 0.7500 0.7500 0.7500  4 Ba 3.32, 4 Ho 3.32
Ga 0.2500 0.2500 0.2500  4 Ho 3.32, 4 Ba 3.32
Ho 0.0000 0.0000 0.0000  4 Zn 3.32, 4 Ga 3.32
Ba 0.5000 0.5000 0.5000  4 Zn 3.32, 4 Ga 3.32

Results
- total DFT energy (no corrections) (eV per atom) = -2.89
- total magnetization (μB/f.u.) = 0.000
- theoretical density (g cm⁻³) = 6.469
- formation enthalpy at 0 K (eV/atom) = -0.1921

***

Record 2
DFT (PBE-GGA) results for an optimized crystal structure of Pm3CdRu.

Cell: 7.3352 7.3373 7.9353 Å, 90.00 62.47 59.99°
With the nearest neighbours (Å) after each atom.
Element x y z (fractional)
Pm 0.8946 0.0074 0.4696  2 Ru 2.74-2.83
Pm 0.5318 0.1890 0.0095  2 Ru 2.74-2.83
Pm 0.3927 0.0078 0.4698  2 Ru 2.74-2.83
Pm 0.0334 0.6873 0.0093  2 Ru 2.74-2.83
Pm 0.3929 0.5092 0.4698  2 Ru 2.74-2.83
Pm 0.0337 0.1887 0.0093  2 Ru 2.74-2.83
Ru 0.3741 0.2678 0.7483  6 Pm 2.74-2.83
Ru 0.0522 0.9287 0.7308  6 Pm 2.74-2.83
Cd 0.9338 0.4879 0.4089  9 Pm 3.41-3.69
Cd 0.4927 0.7084 0.0701  9 Pm 3.41-3.69

Results
- total DFT energy (no corrections) (eV per atom) = -4.96
- total magnetization (μB/f.u.) = 0.000
- theoretical density (g cm⁻³) = 6.886
- formation enthalpy at 0 K (eV/atom) = -0.0728

***

Record 3
DFT (PBE-GGA) results for an optimized crystal structure of Li2SnPb2.

Cell: 5.8601 5.8601 6.0069 Å, 63.56 63.56 44.86°
With the nearest neighbours (Å) after each atom.
Element x y z (fractional)
Pb 0.6453 0.6453 0.2167  5 Li 3.01-3.24, 2 Sn 3.34, 3 Pb 3.34-3.35
Pb 0.3547 0.3547 0.7833  5 Li 3.01-3.24, 2 Sn 3.34, 3 Pb 3.34-3.35
Li 0.3246 0.3246 0.3109  2 Sn 2.95, 5 Pb 3.01-3.24, 2 Li 3.04
Li 0.6754 0.6754 0.6891  2 Sn 2.95, 5 Pb 3.01-3.24, 2 Li 3.04
Sn 0.0000 0.0000 0.0000  4 Li 2.95

Results
- total DFT energy (no corrections) (eV per atom) = -3.18
- total magnetization (μB/f.u.) = 0.000
- theoretical density (g cm⁻³) = 7.124
- formation enthalpy at 0 K (eV/atom) = -0.1298

***

Record 4
DFT (PBE-GGA) results for an optimized crystal structure of CsSiHgAs2.

Cell: 6.2876 7.8170 7.1909 Å, 90.00 90.00 113.71°
With the nearest neighbours (Å) after each atom.
Element x y z (fractional)
As 0.4080 0.8160 0.8168  2 Si 2.44, 1 Hg 2.63
As 0.0920 0.1840 0.8168  2 Si 2.44, 1 Hg 2.63
As 0.9080 0.8160 0.1832  2 Si 2.44, 1 Hg 2.63
As 0.5920 0.1840 0.1832  2 Si 2.44, 1 Hg 2.63
Si 0.7500 0.0000 0.0000  4 As 2.44
Si 0.2500 0.0000 0.0000  4 As 2.44
Hg 0.5000 0.0000 0.5000  2 As 2.63
Hg 0.0000 0.0000 0.5000  2 As 2.63
Cs 0.2500 0.5000 0.2484  6 As 3.84-3.90, 2 Hg 4.01, 4 Si 4.30
Cs 0.7500 0.5000 0.7516  6 As 3.84-3.90, 2 Hg 4.01, 4 Si 4.30

Results
- total DFT energy (no corrections) (eV per atom) = -3.37
- total magnetization (μB/f.u.) = 0.000
- theoretical density (g cm⁻³) = 5.249
- formation energy from raw total energies (eV/atom) = -0.20

***

Record 5
DFT (PBE-GGA) results for an optimized crystal structure of TbPmAgSb.

Cell: 5.2939 5.2939 5.2939 Å, 60.00 60.00 60.00°
With the nearest neighbours (Å) after each atom.
Element x y z (fractional)
Pm 0.0000 0.0000 0.0000  4 Sb 3.24, 4 Ag 3.24
Ag 0.2500 0.2500 0.2500  4 Tb 3.24, 4 Pm 3.24
Sb 0.7500 0.7500 0.7500  4 Pm 3.24, 4 Tb 3.24
Tb 0.5000 0.5000 0.5000  4 Sb 3.24, 4 Ag 3.24

Results
- total DFT energy (no corrections) (eV per atom) = -4.66
- total magnetization (μB/f.u.) = 0.008
- theoretical density (g cm⁻³) = 8.445
- formation energy from raw total energies (eV/atom) = -0.57

***

Record 6
DFT (PBE-GGA) results for an optimized crystal structure of Ca4PbAu2.

Cell: 5.2231 5.2231 9.0745 Å, 73.27 73.27 60.00°
With the nearest neighbours (Å) after each atom.
Element x y z (fractional)
Ca 0.1280 0.1280 0.6161  4 Au 3.05-3.20, 1 Pb 3.29
Ca 0.6191 0.6191 0.1426  4 Au 3.18-3.45, 3 Pb 3.25
Ca 0.8720 0.8720 0.3839  4 Au 3.05-3.20, 1 Pb 3.29
Ca 0.3809 0.3809 0.8574  4 Au 3.18-3.45, 3 Pb 3.25
Au 0.2467 0.2467 0.2599  7 Ca 3.05-3.20
Au 0.7533 0.7533 0.7401  7 Ca 3.05-3.20
Pb 0.0000 0.0000 0.0000  8 Ca 3.25-3.29

Results
- total DFT energy (no corrections) (eV per atom) = -3.25
- total magnetization (μB/f.u.) = 0.000
- theoretical density (g cm⁻³) = 6.253
- formation enthalpy at 0 K (eV/atom) = -0.6412

***

Record 7
DFT (PBE-GGA) results for an optimized crystal structure of Ru3Rh.

Cell: 5.0929 5.0929 5.0929 Å, 117.00 117.00 117.00°
With the nearest neighbours (Å) after each atom.
Element x y z (fractional)
Rh 0.0000 0.0000 0.0000  6 Ru 2.66, 2 Rh 2.68
Ru 0.5000 0.5000 0.0000  6 Ru 2.66-2.68, 2 Rh 2.66
Ru 0.0000 0.5000 0.5000  2 Rh 2.66, 6 Ru 2.66-2.68
Ru 0.5000 0.0000 0.5000  6 Ru 2.66-2.68, 2 Rh 2.66

Results
- total DFT energy (no corrections) (eV per atom) = -8.22
- total magnetization (μB/f.u.) = 2.962
- theoretical density (g cm⁻³) = 11.570
- formation enthalpy at 0 K (eV/atom) = 0.5737

***

Record 8
DFT (PBE-GGA) results for an optimized crystal structure of Ba3AgBi.

Cell: 5.0877 10.1759 11.5218 Å, 104.35 90.23 104.27°
With the nearest neighbours (Å) after each atom.
Element x y z (fractional)
Ba 0.8206 0.6464 0.4219  1 Ag 3.43, 3 Bi 3.53-3.59
Ba 0.3337 0.6715 0.9396  3 Ag 3.37-3.42, 1 Bi 3.63
Ba 0.1794 0.3536 0.5781  1 Ag 3.43, 3 Bi 3.53-3.59
Ba 0.6663 0.3285 0.0604  3 Ag 3.37-3.42, 1 Bi 3.63
Ba 0.0229 0.0424 0.2173  1 Ag 3.38, 2 Bi 3.51
Ba 0.9771 0.9576 0.7827  1 Ag 3.38, 2 Bi 3.51
Ag 0.1572 0.3125 0.8648  5 Ba 3.37-3.43
Ag 0.8428 0.6875 0.1352  5 Ba 3.37-3.43
Bi 0.6367 0.2707 0.3593  6 Ba 3.51-3.63
Bi 0.3633 0.7293 0.6407  6 Ba 3.51-3.63

Results
- total DFT energy (no corrections) (eV per atom) = -2.87
- total magnetization (μB/f.u.) = 0.000
- theoretical density (g cm⁻³) = 4.332
- formation enthalpy at 0 K (eV/atom) = -0.3654

***

> Which value of total magnetization does entry 2 give?

0.000 μB/f.u.

***

> Which of these has the highest total magnetization?

Ru3Rh

***

> Look up the total magnetization of the fourth one.

0.000 μB/f.u.